BaSiAs2: relaxed, PBE-GGA.

Cell lengths 7.421, 7.421, 6.627 Å; angles 55.95, 55.95, 90.00 degrees
Positions (direct):
Ba 0.000 0.000 0.000
Ba 0.750 0.250 0.500
As 0.375 0.474 0.750
As 0.224 0.625 0.250
As 0.875 0.776 0.750
As 0.526 0.125 0.250
Si 0.500 0.500 0.000
Si 0.250 0.750 0.500

Summary:
D(E_F) = 0.0 states/eV per cell
space group = I-42d
E_form (uncorrected) = -0.63 eV/atom
DFT total energy = -38.3 eV/cell

---

BaSiAs2: relaxed, PBE-GGA.

Cell lengths 3.888, 3.888, 6.550 Å; angles 90.00, 90.00, 90.02 degrees
Positions (direct):
Ba 0.500 0.500 0.250
As 0.000 0.000 0.936
As 0.000 0.000 0.564
Si 0.500 0.500 0.750

Summary:
D(E_F) = 1.3 states/eV per cell
space group = P4/mmm
E_form (uncorrected) = -0.14 eV/atom
DFT total energy = -17.2 eV/cell

---

Number 1: M_tot 0.00 μB per formula unit. Number 2: M_tot 0.00 μB per formula unit.